1.
This record from Alexandria via LeMat-Bulk describes a relaxed structure of B2RhAu. The functional is PBE-GGA.

Summary:
DFT formation energy = 81.6 kJ/mol of atoms
E above lowest polymorph = 0.441 eV per atom
Calculated density = 11.90 g/cm³
Total moment = 0.0 μB/cell

a b c (Å): 3.9887 3.9887 3.9887
angles (deg): 60.00 60.00 60.00
Positions (direct):
B 0.2500 0.2500 0.2500
B 0.7500 0.7500 0.7500
Rh 0.0000 0.0000 0.0000
Au 0.5000 0.5000 0.5000

***

2.
This record from Alexandria via LeMat-Bulk describes a relaxed structure of NaGaAg6. The functional is PBE-GGA.

Summary:
DFT formation energy = 14.7 kJ/mol of atoms
Calculated density = 6.94 g/cm³
Total moment = 0.0 μB/cell

a b c (Å): 5.7377 5.7377 5.7377
angles (deg): 77.43 77.43 77.43
Positions (direct):
Na 0.0000 0.0000 0.0000
Ga 0.5000 0.5000 0.5000
Ag 0.0344 0.6482 0.6482
Ag 0.3518 0.3518 0.9656
Ag 0.3518 0.9656 0.3518
Ag 0.6482 0.0344 0.6482
Ag 0.6482 0.6482 0.0344
Ag 0.9656 0.3518 0.3518

***

3.
This record from Alexandria via LeMat-Bulk describes a relaxed structure of SrTeW. The functional is PBE-GGA.

Summary:
E above lowest polymorph = 0.623 eV per atom
Calculated density = 7.98 g/cm³
ΔE_f (raw) = 0.939 eV/atom
Total moment = 0.0 μB/cell

a b c (Å): 4.8979 4.8979 4.8979
angles (deg): 60.00 60.00 60.00
Positions (direct):
Sr 0.0000 0.0000 0.0000
Te 0.2500 0.2500 0.2500
W 0.5000 0.5000 0.5000

***

4.
This record from Alexandria via LeMat-Bulk describes a relaxed structure of KAgAu2. The functional is PBE-GGA.

Summary:
DFT formation energy = -6.1 kJ/mol of atoms
E above lowest polymorph = 0.022 eV per atom
Calculated density = 9.72 g/cm³
Total moment = 0.0 μB/cell

a b c (Å): 2.8778 4.2814 7.4996
angles (deg): 90.00 90.07 90.00
Positions (direct):
K 0.0000 0.0000 0.0000
Ag 0.0000 0.0000 0.5000
Au 0.4998 0.5000 0.3035
Au 0.5002 0.5000 0.6965

***

5.
This record from Alexandria via LeMat-Bulk describes a relaxed structure of BeRhF. The functional is PBE-GGA.

Summary:
E above lowest polymorph = 0.823 eV per atom
Calculated density = 6.13 g/cm³
ΔE_f (raw) = -0.623 eV/atom
Total moment = 0.0 μB/cell

a b c (Å): 2.7540 2.7540 10.7953
angles (deg): 90.00 90.00 120.00
Positions (direct):
Be 0.3333 0.6667 0.2500
Be 0.6667 0.3333 0.7500
Rh 0.0000 0.0000 0.0000
Rh 0.0000 0.0000 0.5000
F 0.0000 0.0000 0.2500
F 0.0000 0.0000 0.7500

***

6.
This record from Alexandria via LeMat-Bulk describes a relaxed structure of MnFe4Hg. The functional is PBE-GGA.

Summary:
DFT formation energy = 27.5 kJ/mol of atoms
Calculated density = 10.04 g/cm³
Total moment = 11.0 μB/cell

a b c (Å): 4.8199 4.8199 4.8199
angles (deg): 60.00 60.00 60.00
Positions (direct):
Mn 0.0000 0.0000 0.0000
Fe 0.1229 0.6257 0.6257
Fe 0.6257 0.1229 0.6257
Fe 0.6257 0.6257 0.1229
Fe 0.6257 0.6257 0.6257
Hg 0.2500 0.2500 0.2500

***

7.
This record from Alexandria via LeMat-Bulk describes a relaxed structure of Er8C3Se4O. The functional is PBE-GGA.

Summary:
Calculated density = 9.23 g/cm³
ΔE_f (raw) = -1.479 eV/atom
Total moment = 0.0 μB/cell

a b c (Å): 7.7510 7.7510 7.7510
angles (deg): 57.04 57.04 57.04
Positions (direct):
Er 0.2266 0.7380 0.7380
Er 0.2349 0.2349 0.2349
Er 0.2620 0.2620 0.7734
Er 0.2620 0.7734 0.2620
Er 0.7380 0.2266 0.7380
Er 0.7380 0.7380 0.2266
Er 0.7651 0.7651 0.7651
Er 0.7734 0.2620 0.2620
C 0.0000 0.0000 0.5000
C 0.0000 0.5000 0.0000
C 0.5000 0.0000 0.0000
Se 0.0000 0.0000 0.0000
Se 0.0000 0.5000 0.5000
Se 0.5000 0.0000 0.5000
Se 0.5000 0.5000 0.0000
O 0.5000 0.5000 0.5000

***

8.
This record from Alexandria via LeMat-Bulk describes a relaxed structure of InNi2Ru2. The functional is PBE-GGA.

Summary:
DFT formation energy = 31.0 kJ/mol of atoms
E above lowest polymorph = 0.021 eV per atom
Calculated density = 9.87 g/cm³
Total moment = 0.0 μB/cell

a b c (Å): 7.1318 7.1318 2.8733
angles (deg): 90.00 90.00 90.00
Positions (direct):
In 0.0000 0.0000 0.0000
In 0.5000 0.5000 0.0000
Ni 0.1685 0.3315 0.5000
Ni 0.3315 0.8315 0.5000
Ni 0.6685 0.1685 0.5000
Ni 0.8315 0.6685 0.5000
Ru 0.1254 0.6254 0.0000
Ru 0.3746 0.1254 0.0000
Ru 0.6254 0.8746 0.0000
Ru 0.8746 0.3746 0.0000

***

9.
This record from Alexandria via LeMat-Bulk describes a relaxed structure of NbTlSe2. The functional is PBE-GGA.

Summary:
Calculated density = 8.67 g/cm³
ΔE_f (raw) = 0.005 eV/atom
Total moment = 2.0 μB/cell

a b c (Å): 4.9764 4.9764 4.9764
angles (deg): 60.00 60.00 60.00
Positions (direct):
Nb 0.0000 0.0000 0.0000
Tl 0.5000 0.5000 0.5000
Se 0.2500 0.2500 0.2500
Se 0.7500 0.7500 0.7500

***

10.
This record from Alexandria via LeMat-Bulk describes a relaxed structure of SrLiSi2. The functional is PBE-GGA.

Summary:
E above lowest polymorph = 0.457 eV per atom
Calculated density = 2.97 g/cm³
ΔE_f (raw) = 0.043 eV/atom
Total moment = 0.0 μB/cell

a b c (Å): 5.4761 5.4761 5.4761
angles (deg): 133.75 133.75 67.47
Positions (direct):
Sr 0.0000 0.0000 0.0000
Li 0.5000 0.5000 0.0000
Si 0.2500 0.7500 0.5000
Si 0.7500 0.2500 0.5000

***

11.
This record from Alexandria via LeMat-Bulk describes a relaxed structure of Ba2OsW. The functional is PBE-GGA.

Summary:
DFT formation energy = 38.9 kJ/mol of atoms
E above lowest polymorph = 0.000 eV per atom
Calculated density = 7.23 g/cm³
Total moment = 0.3 μB/cell

a b c (Å): 4.2769 4.2769 9.7808
angles (deg): 103.71 103.71 60.03
Positions (direct):
Ba 0.0000 0.0000 0.0000
Ba 0.1914 0.1914 0.5263
Os 0.7702 0.7702 0.2842
W 0.4245 0.4245 0.2501

***

12.
This record from Alexandria via LeMat-Bulk describes a relaxed structure of ScTiNiIr. The functional is PBE-GGA.

Summary:
DFT formation energy = -65.9 kJ/mol of atoms
Calculated density = 9.24 g/cm³
Total moment = 0.0 μB/cell

a b c (Å): 4.4378 4.4378 4.4378
angles (deg): 60.00 60.00 60.00
Positions (direct):
Sc 0.0000 0.0000 0.0000
Ti 0.5000 0.5000 0.5000
Ni 0.2500 0.2500 0.2500
Ir 0.7500 0.7500 0.7500

***

13.
This record from Alexandria via LeMat-Bulk describes a relaxed structure of TlWSCl2. The functional is PBE-GGA.

Summary:
E above lowest polymorph = 1.420 eV per atom
Calculated density = 5.74 g/cm³
ΔE_f (raw) = 1.131 eV/atom
Total moment = 4.6 μB/cell

a b c (Å): 5.1811 5.1811 5.2895
angles (deg): 90.00 90.00 90.00
Positions (direct):
Tl 0.0000 0.0000 0.0000
W 0.5000 0.5000 0.5000
S 0.0000 0.0000 0.5000
Cl 0.0000 0.5000 0.0000
Cl 0.5000 0.0000 0.0000

***

14.
This record from Alexandria via LeMat-Bulk describes a relaxed structure of GePtBr2. The functional is PBE-GGA.

Summary:
E above lowest polymorph = 0.178 eV per atom
Calculated density = 8.43 g/cm³
ΔE_f (raw) = 0.448 eV/atom
Total moment = 0.0 μB/cell

a b c (Å): 4.9209 4.9209 4.9209
angles (deg): 60.00 60.00 60.00
Positions (direct):
Ge 0.0000 0.0000 0.0000
Pt 0.5000 0.5000 0.5000
Br 0.2500 0.2500 0.2500
Br 0.7500 0.7500 0.7500

***

15.
This record from Alexandria via LeMat-Bulk describes a relaxed structure of TaTlO2. The functional is PBE-GGA.

Summary:
E above lowest polymorph = 0.000 eV per atom
Calculated density = 10.87 g/cm³
ΔE_f (raw) = -1.622 eV/atom
Total moment = 0.0 μB/cell

a b c (Å): 8.0351 8.0351 8.0351
angles (deg): 21.99 21.99 21.99
Positions (direct):
Ta 0.0000 0.0000 0.0000
Tl 0.5000 0.5000 0.5000
O 0.3830 0.3830 0.3830
O 0.6170 0.6170 0.6170

***

16.
This record from Alexandria via LeMat-Bulk describes a relaxed structure of Ba5Al2Ge7. The functional is PBE-GGA.

Summary:
DFT formation energy = -51.0 kJ/mol of atoms
Calculated density = 5.01 g/cm³
Total moment = 0.0 μB/cell

a b c (Å): 6.8021 6.8021 18.6934
angles (deg): 98.63 98.63 100.08
Positions (direct):
Ba 0.0697 0.6232 0.7103
Ba 0.2091 0.7909 0.0000
Ba 0.2516 0.7484 0.5000
Ba 0.2614 0.2614 0.8560
Ba 0.3768 0.9303 0.2897
Ba 0.6232 0.0697 0.7103
Ba 0.7386 0.7386 0.1440
Ba 0.7484 0.2516 0.5000
Ba 0.7909 0.2091 0.0000
Ba 0.9303 0.3768 0.2897
Al 0.2748 0.2748 0.5718
Al 0.4255 0.4255 0.2330
Al 0.5745 0.5745 0.7670
Al 0.7252 0.7252 0.4282
Ge 0.0868 0.0868 0.6544
Ge 0.1389 0.1389 0.1440
Ge 0.1653 0.5408 0.1423
Ge 0.2027 0.2027 0.4333
Ge 0.3199 0.3199 0.0469
Ge 0.4393 0.4393 0.3679
Ge 0.4592 0.8347 0.8577
Ge 0.5408 0.1653 0.1423
Ge 0.5607 0.5607 0.6321
Ge 0.6801 0.6801 0.9531
Ge 0.7973 0.7973 0.5667
Ge 0.8347 0.4592 0.8577
Ge 0.8611 0.8611 0.8560
Ge 0.9132 0.9132 0.3456

***

17.
This record from Alexandria via LeMat-Bulk describes a relaxed structure of NiIr2Rh3. The functional is PBE-GGA.

Summary:
DFT formation energy = 41.7 kJ/mol of atoms
E above lowest polymorph = 0.081 eV per atom
Calculated density = 13.59 g/cm³
Total moment = 7.5 μB/cell

a b c (Å): 8.0919 8.0919 8.0919
angles (deg): 121.21 121.21 87.92
Positions (direct):
Ni 0.0880 0.3380 0.7500
Ni 0.3380 0.0880 0.2500
Ni 0.6620 0.9120 0.7500
Ni 0.9120 0.6620 0.2500
Ir 0.2700 0.7147 0.5553
Ir 0.2853 0.3406 0.5553
Ir 0.2853 0.7300 0.9447
Ir 0.3406 0.2853 0.0553
Ir 0.6594 0.7147 0.9447
Ir 0.7147 0.2700 0.0553
Ir 0.7147 0.6594 0.4447
Ir 0.7300 0.2853 0.4447
Rh 0.0000 0.5000 0.5000
Rh 0.0706 0.3206 0.1412
Rh 0.0706 0.9294 0.7500
Rh 0.3206 0.0706 0.6412
Rh 0.3206 0.6794 0.2500
Rh 0.5000 0.0000 0.0000
Rh 0.5000 0.5000 0.0000
Rh 0.5000 0.5000 0.5000
Rh 0.6794 0.3206 0.7500
Rh 0.6794 0.9294 0.3588
Rh 0.9294 0.0706 0.2500
Rh 0.9294 0.6794 0.8588

***

18.
This record from Alexandria via LeMat-Bulk describes a relaxed structure of Sc2BeMo. The functional is PBE-GGA.

Summary:
DFT formation energy = 29.9 kJ/mol of atoms
Calculated density = 4.70 g/cm³
Total moment = 0.0 μB/cell

a b c (Å): 4.9186 4.9186 4.9206
angles (deg): 104.89 104.89 36.90
Positions (direct):
Sc 0.2356 0.2356 0.2394
Sc 0.7644 0.7644 0.7606
Be 0.5000 0.5000 0.0000
Mo 0.0000 0.0000 0.5000

***

19.
This record from Alexandria via LeMat-Bulk describes a relaxed structure of Pm3Ni2Ge2. The functional is PBE-GGA.

Summary:
DFT formation energy = -63.7 kJ/mol of atoms
Calculated density = 7.45 g/cm³
Total moment = 0.0 μB/cell

a b c (Å): 9.2343 9.2343 9.2343
angles (deg): 153.62 153.58 37.69
Positions (direct):
Pm 0.0000 0.0000 0.0000
Pm 0.3215 0.8215 0.5000
Pm 0.6785 0.1785 0.5000
Ni 0.4325 0.4325 0.0000
Ni 0.5675 0.5675 0.0000
Ge 0.1396 0.6396 0.5000
Ge 0.8604 0.3604 0.5000

***

20.
This record from Alexandria via LeMat-Bulk describes a relaxed structure of HoTm3Cd6. The functional is PBE-GGA.

Summary:
DFT formation energy = -26.5 kJ/mol of atoms
Calculated density = 9.12 g/cm³
Total moment = 0.0 μB/cell

a b c (Å): 9.0948 5.1157 10.9399
angles (deg): 90.00 105.52 90.00
Positions (direct):
Ho 0.0551 0.2500 0.3933
Ho 0.9449 0.7500 0.6067
Tm 0.2417 0.2500 0.9986
Tm 0.3509 0.7500 0.7953
Tm 0.4677 0.2500 0.6056
Tm 0.5323 0.7500 0.3944
Tm 0.6491 0.2500 0.2047
Tm 0.7583 0.7500 0.0014
Cd 0.0524 0.7500 0.9003
Cd 0.1439 0.7500 0.1951
Cd 0.1528 0.2500 0.6951
Cd 0.2438 0.7500 0.4992
Cd 0.3444 0.2500 0.2937
Cd 0.4508 0.7500 0.0961
Cd 0.5492 0.2500 0.9039
Cd 0.6556 0.7500 0.7063
Cd 0.7562 0.2500 0.5008
Cd 0.8472 0.7500 0.3049
Cd 0.8561 0.2500 0.8049
Cd 0.9476 0.2500 0.0997

***

21.
This record from Alexandria via LeMat-Bulk describes a relaxed structure of Tm6InPt. The functional is PBE-GGA.

Summary:
DFT formation energy = -20.1 kJ/mol of atoms
Calculated density = 9.20 g/cm³
Total moment = 0.0 μB/cell

a b c (Å): 6.6570 6.6570 6.7355
angles (deg): 102.61 102.61 117.96
Positions (direct):
Tm 0.0200 0.4186 0.2425
Tm 0.2317 0.2317 0.7711
Tm 0.4186 0.0200 0.2425
Tm 0.5814 0.9800 0.7575
Tm 0.7683 0.7683 0.2289
Tm 0.9800 0.5814 0.7575
In 0.5000 0.5000 0.5000
Pt 0.0000 0.0000 0.0000

***

22.
This record from Alexandria via LeMat-Bulk describes a relaxed structure of AlSi2Ni. The functional is PBE-GGA.

Summary:
Calculated density = 4.27 g/cm³
ΔE_f (raw) = -0.111 eV/atom
Total moment = 0.0 μB/cell

a b c (Å): 6.3498 7.3593 4.7204
angles (deg): 90.00 90.00 90.00
Positions (direct):
Al 0.0225 0.2500 0.0932
Al 0.4775 0.7500 0.5932
Al 0.5225 0.2500 0.4068
Al 0.9775 0.7500 0.9068
Si 0.1912 0.0400 0.6161
Si 0.1912 0.4600 0.6161
Si 0.3088 0.5400 0.1161
Si 0.3088 0.9600 0.1161
Si 0.6912 0.0400 0.8839
Si 0.6912 0.4600 0.8839
Si 0.8088 0.5400 0.3839
Si 0.8088 0.9600 0.3839
Ni 0.0892 0.7500 0.4118
Ni 0.4108 0.2500 0.9118
Ni 0.5892 0.7500 0.0882
Ni 0.9108 0.2500 0.5882

***

23.
This record from Alexandria via LeMat-Bulk describes a relaxed structure of Tb2Tm4Sc5. The functional is PBE-GGA.

Summary:
DFT formation energy = 12.3 kJ/mol of atoms
E above lowest polymorph = 0.000 eV per atom
Calculated density = 6.48 g/cm³
Total moment = 0.5 μB/cell

a b c (Å): 8.5883 3.4380 11.1841
angles (deg): 90.00 109.00 90.00
Positions (direct):
Tb 0.1326 0.0000 0.4071
Tb 0.8674 0.0000 0.5929
Tm 0.2437 0.5000 0.7207
Tm 0.2553 0.5000 0.1522
Tm 0.7447 0.5000 0.8478
Tm 0.7563 0.5000 0.2793
Sc 0.0886 0.0000 0.8975
Sc 0.4963 0.0000 0.6299
Sc 0.5000 0.0000 0.0000
Sc 0.5037 0.0000 0.3701
Sc 0.9114 0.0000 0.1025

***

24.
This record from Alexandria via LeMat-Bulk describes a relaxed structure of InRh2Se. The functional is PBE-GGA.

Summary:
Calculated density = 9.59 g/cm³
ΔE_f (raw) = 0.238 eV/atom
Total moment = 0.2 μB/cell

a b c (Å): 4.6079 4.6079 4.6079
angles (deg): 60.00 60.00 60.00
Positions (direct):
In 0.0000 0.0000 0.0000
Rh 0.5000 0.5000 0.5000
Rh 0.7500 0.7500 0.7500
Se 0.2500 0.2500 0.2500